(1)
This record from Alexandria via LeMat-Bulk describes crystalline Al2AgPd2 at its relaxed geometry. The functional is PBE.

Values from the calculation:
- Crystal system: tetragonal
- Space group: I4/mmm (139)
- Total magnetic moment: 0.000 μB/cell
- ΔE_f: -0.338 eV per atom

Cell: 6.201 6.201 6.201 Å, 142.59 142.59 53.94°
Fractional coordinates of all 5 atoms:
Al  0.115  0.115  0.000
Al  0.885  0.885  0.000
Ag  0.500  0.500  0.000
Pd  0.250  0.750  0.500
Pd  0.750  0.250  0.500

---

(2)
This record from Alexandria via LeMat-Bulk describes crystalline AlAgPd5 at its relaxed geometry. The functional is PBE.

Values from the calculation:
- Crystal system: monoclinic
- Space group: C2/c (15)
- Total magnetic moment: 0.000 μB/cell
- ΔE_f: -0.202 eV per atom

Cell: 5.059 5.059 10.496 Å, 90.89 90.89 58.53°
Fractional coordinates of all 14 atoms:
Al  0.217  0.783  0.750
Al  0.783  0.217  0.250
Ag  0.500  0.500  0.000
Ag  0.500  0.500  0.500
Pd  0.152  0.152  0.063
Pd  0.152  0.152  0.563
Pd  0.231  0.266  0.823
Pd  0.266  0.231  0.323
Pd  0.289  0.711  0.250
Pd  0.711  0.289  0.750
Pd  0.734  0.769  0.677
Pd  0.769  0.734  0.177
Pd  0.848  0.848  0.437
Pd  0.848  0.848  0.937

---

(3)
This record from Alexandria via LeMat-Bulk describes crystalline AlAg2Pd2 at its relaxed geometry. The functional is PBE.

Values from the calculation:
- Crystal system: tetragonal
- Space group: P4/mbm (127)
- Total magnetic moment: 0.000 μB/cell
- ΔE_f: -0.261 eV per atom

Cell: 6.332 6.332 4.354 Å, 90.00 90.00 90.00°
Fractional coordinates of all 10 atoms:
Al  0.000  0.000  0.000
Al  0.500  0.500  0.000
Ag  0.162  0.338  0.500
Ag  0.338  0.838  0.500
Ag  0.662  0.162  0.500
Ag  0.838  0.662  0.500
Pd  0.146  0.646  0.000
Pd  0.354  0.146  0.000
Pd  0.646  0.854  0.000
Pd  0.854  0.354  0.000

---

Number 1: ΔE to the lowest computed polymorph 0.3100 eV/atom. Number 2: ΔE to the lowest computed polymorph 0.0843 eV/atom. Number 3: ΔE to the lowest computed polymorph 0.2154 eV/atom.